The following is a PBE calculation of an optimized crystal structure of CaAcTl3, from the Alexandria database.

Cell and atoms, written as CIF:
```
data_CaAcTl3
_chemical_formula_sum 'Ca4 Ac4 Tl12'
_cell_length_a 8.767
_cell_length_b 9.042
_cell_length_c 9.044
_cell_angle_alpha 65.65
_cell_angle_beta 90.00
_cell_angle_gamma 90.00
_space_group_name_H-M_alt 'P 1'
_space_group_IT_number 1
loop_
_space_group_symop_operation_xyz
'x,y,z'
loop_
_atom_site_label
_atom_site_type_symbol
_atom_site_fract_x
_atom_site_fract_y
_atom_site_fract_z
Ca1 Ca 0.750 0.452 0.048
Ca2 Ca 0.750 0.048 0.453
Ca3 Ca 0.250 0.548 0.952
Ca4 Ca 0.250 0.952 0.547
Ac1 Ac 0.250 0.012 0.012
Ac2 Ac 0.750 0.988 0.988
Ac3 Ac 0.250 0.488 0.488
Ac4 Ac 0.750 0.512 0.512
Tl1 Tl 0.501 0.350 0.850
Tl2 Tl 0.001 0.150 0.650
Tl3 Tl 0.499 0.650 0.150
Tl4 Tl 0.999 0.850 0.350
Tl5 Tl 0.001 0.650 0.150
Tl6 Tl 0.501 0.850 0.350
Tl7 Tl 0.999 0.350 0.850
Tl8 Tl 0.499 0.150 0.650
Tl9 Tl 0.440 0.250 0.250
Tl10 Tl 0.940 0.750 0.750
Tl11 Tl 0.560 0.750 0.750
Tl12 Tl 0.060 0.250 0.250
```

Results
SG	Cmcm
energy of formation from the pure elements	-0.264	eV/atom
uncorrected energy	-2.906	eV/atom